Compound: TlSbN3
Source: the Alexandria database
Functional: meta-GGA SCAN
Structure: single point on PBEsol structure

Unit cell a=4.1069 b=4.1069 c=4.1069 alpha=90.00 beta=90.00 gamma=90.00
Closest atoms and distances in Å follow each position.
Fractional coordinates of all 5 atoms:
Tl: 0.5000 0.5000 0.5000  12 N 2.90
N: 0.0000 0.5000 0.0000  2 Sb 2.05
N: 0.0000 0.0000 0.5000  2 Sb 2.05
N: 0.5000 0.0000 0.0000  2 Sb 2.05
Sb: 0.0000 0.0000 0.0000  6 N 2.05

Size of the total moment (μB per atom): 0.6046
N(E_F) (states/eV per atom): 0.447
Formation energy from raw total energies (meV/atom): 1416